[1]
First-principles (PBE) data for a relaxed PmPrO4 crystal, as listed in the Alexandria database.

Summary:
The formation energy without anion corrections is -2.84 eV per atom. The density of states at the Fermi level comes out at 0.00 states/eV per cell. For the magnetic moment, the calculation gives 0.000 μB/f.u.

Cell lengths 4.0483, 3.9376, 6.5586 Å; angles 96.72, 90.00, 120.93 degrees
Sites, in units of the cell vectors:
Pm1 0.0528 0.1057 0.0199
Pr1 0.4484 0.8968 0.4807
O1 0.6706 0.3413 0.8247
O2 0.4018 0.8036 0.1045
O3 0.0973 0.1945 0.3869
O4 0.8291 0.6581 0.6833


[2]
First-principles (PBE) data for a relaxed PmPr3O6 crystal, as listed in the Alexandria database.

Summary:
The formation energy without anion corrections is -3.33 eV per atom. The density of states at the Fermi level comes out at 0.00 states/eV per cell. For the magnetic moment, the calculation gives 0.000 μB/f.u.

Cell lengths 7.0854, 7.0854, 7.0854 Å; angles 91.65, 91.65, 91.65 degrees
Sites, in units of the cell vectors:
Pm1 0.0000 0.0000 0.0000
Pm2 0.5000 0.5000 0.5000
Pr1 0.4454 0.9382 0.7484
Pr2 0.9382 0.7484 0.4454
Pr3 0.2516 0.5546 0.0618
Pr4 0.7484 0.4454 0.9382
Pr5 0.0618 0.2516 0.5546
Pr6 0.5546 0.0618 0.2516
O1 0.3134 0.9049 0.0669
O2 0.0951 0.9331 0.6866
O3 0.6012 0.8151 0.4706
O4 0.9331 0.6866 0.0951
O5 0.4706 0.6012 0.8151
O6 0.1849 0.5294 0.3988
O7 0.8151 0.4706 0.6012
O8 0.5294 0.3988 0.1849
O9 0.0669 0.3134 0.9049
O10 0.3988 0.1849 0.5294
O11 0.9049 0.0669 0.3134
O12 0.6866 0.0951 0.9331


[3]
First-principles (PBE) data for a relaxed PmPr3O6 crystal, as listed in the Alexandria database.

Summary:
The formation energy without anion corrections is -3.24 eV per atom. The density of states at the Fermi level comes out at 0.00 states/eV per cell. For the magnetic moment, the calculation gives 0.000 μB/f.u.

Cell lengths 5.9955, 6.2362, 8.9366 Å; angles 90.00, 90.09, 90.00 degrees
Sites, in units of the cell vectors:
Pm1 0.5000 0.5000 0.5000
Pm2 0.0000 0.0000 0.0000
Pr1 0.5189 0.9521 0.7514
Pr2 0.5000 0.5000 0.0000
Pr3 0.4811 0.0479 0.2486
Pr4 0.0189 0.5479 0.2514
Pr5 0.0000 0.0000 0.5000
Pr6 0.9811 0.4521 0.7486
O1 0.6885 0.1868 0.9204
O2 0.6853 0.1922 0.5841
O3 0.6515 0.4174 0.2530
O4 0.3485 0.5826 0.7470
O5 0.3147 0.8078 0.4159
O6 0.3115 0.8132 0.0796
O7 0.1885 0.3132 0.4204
O8 0.1853 0.3078 0.0841
O9 0.1515 0.0826 0.7530
O10 0.8485 0.9174 0.2470
O11 0.8147 0.6922 0.9159
O12 0.8115 0.6868 0.5796


[4]
First-principles (PBE) data for a relaxed PmPrO3 crystal, as listed in the Alexandria database.

Summary:
The formation energy without anion corrections is -3.15 eV per atom. The density of states at the Fermi level comes out at 0.00 states/eV per cell. For the magnetic moment, the calculation gives 0.000 μB/f.u.

Cell lengths 3.2093, 6.2413, 6.2412 Å; angles 60.00, 90.00, 90.00 degrees
Sites, in units of the cell vectors:
Pm1 0.2201 0.4328 0.3955
Pr1 0.2202 0.0994 0.0622
O1 0.7202 0.2685 0.7244
O2 0.7202 0.2682 0.2312
O3 0.7202 0.7617 0.2309


[5]
First-principles (PBE) data for a relaxed PmPrO3 crystal, as listed in the Alexandria database.

Summary:
The formation energy without anion corrections is -3.21 eV per atom. The density of states at the Fermi level comes out at 0.00 states/eV per cell. For the magnetic moment, the calculation gives 0.000 μB/f.u.

Cell lengths 5.8945, 5.8945, 6.6179 Å; angles 63.55, 63.55, 60.00 degrees
Sites, in units of the cell vectors:
Pm1 0.3533 0.3533 0.9401
Pm2 0.6467 0.6467 0.0599
Pr1 0.1439 0.1439 0.5682
Pr2 0.8561 0.8561 0.4318
O1 0.2576 0.9564 0.2483
O2 0.9564 0.5377 0.2483
O3 0.5377 0.2576 0.2483
O4 0.7424 0.4623 0.7517
O5 0.0436 0.7424 0.7517
O6 0.4623 0.0436 0.7517


[6]
First-principles (PBE) data for a relaxed Pm2Pr4O crystal, as listed in the Alexandria database.

Summary:
The formation energy without anion corrections is -0.61 eV per atom. The density of states at the Fermi level comes out at 9.45 states/eV per cell. For the magnetic moment, the calculation gives 0.000 μB/f.u.

Cell lengths 5.0104, 5.0104, 9.6850 Å; angles 104.99, 104.99, 90.00 degrees
Sites, in units of the cell vectors:
Pr1 0.8617 0.8617 0.7234
Pr2 0.1383 0.1383 0.2766
Pr3 0.0000 0.5000 0.0000
Pr4 0.5000 0.0000 0.0000
O1 0.0000 0.0000 0.0000
Pm1 0.6609 0.6609 0.3218
Pm2 0.3391 0.3391 0.6782


[7]
First-principles (PBE) data for a relaxed Pm2PrO crystal, as listed in the Alexandria database.

Summary:
The formation energy without anion corrections is -1.28 eV per atom. The density of states at the Fermi level comes out at 4.59 states/eV per cell. For the magnetic moment, the calculation gives 0.001 μB/f.u.

Cell lengths 3.6512, 3.6512, 9.3232 Å; angles 78.71, 78.71, 60.00 degrees
Sites, in units of the cell vectors:
Pr1 0.5000 0.5000 0.5000
O1 0.0000 0.0000 0.0000
Pm1 0.7182 0.7182 0.8455
Pm2 0.2818 0.2818 0.1545


[8]
First-principles (PBE) data for a relaxed PmPr3O crystal, as listed in the Alexandria database.

Summary:
The formation energy without anion corrections is -1.08 eV per atom. The density of states at the Fermi level comes out at 4.73 states/eV per cell. For the magnetic moment, the calculation gives 0.000 μB/f.u.

Cell lengths 5.1618, 5.1618, 5.1618 Å; angles 90.00, 90.00, 90.00 degrees
Sites, in units of the cell vectors:
Pr1 0.0000 0.5000 0.0000
Pr2 0.0000 0.0000 0.5000
Pr3 0.5000 0.0000 0.0000
O1 0.0000 0.0000 0.0000
Pm1 0.5000 0.5000 0.5000